1.
Density functional theory data (GGA-PBE) for an optimized crystal structure of CeTm2Pb5.

a b c (Å): 6.7157 6.7157 6.7157
angles (deg): 106.30 106.30 116.01
With the nearest neighbours (Å) after each atom.
Fractional positions:
Ce (0.0000, 0.0000, 0.0000)  10 Pb 3.36-3.56
Tm (0.0000, 0.5000, 0.5000)  8 Pb 3.36, 2 Tm 3.56
Tm (0.5000, 0.0000, 0.5000)  8 Pb 3.36, 2 Tm 3.56
Pb (0.0000, 0.0000, 0.5000)  4 Pb 3.36-3.56, 2 Ce 3.36, 4 Tm 3.36
Pb (0.0000, 0.5000, 0.0000)  4 Pb 3.36-3.56, 2 Ce 3.36, 4 Tm 3.36
Pb (0.5000, 0.0000, 0.0000)  2 Ce 3.36, 4 Pb 3.36-3.56, 4 Tm 3.36
Pb (0.5000, 0.5000, 0.0000)  8 Pb 3.36, 2 Ce 3.56
Pb (0.5000, 0.5000, 0.5000)  4 Pb 3.36-3.56, 2 Ce 3.36, 4 Tm 3.36

For the formation energy, the calculation gives -0.31 eV per atom. The space group is No. 139. The total energy comes out at -4.48 eV per atom. The value obtained for the total moment is 1.111 μB per cell.

2.
Density functional theory data (GGA-PBE) for an optimized crystal structure of CeYTmPb.

a b c (Å): 5.4901 5.4901 5.4901
angles (deg): 60.00 60.00 60.00
With the nearest neighbours (Å) after each atom.
Fractional positions:
Ce (0.0000, 0.0000, 0.0000)  4 Pb 3.36, 4 Tm 3.36
Y (0.5000, 0.5000, 0.5000)  4 Pb 3.36, 4 Tm 3.36
Tm (0.2500, 0.2500, 0.2500)  4 Y 3.36, 4 Ce 3.36
Pb (0.7500, 0.7500, 0.7500)  4 Ce 3.36, 4 Y 3.36

For the formation energy, the calculation gives -0.08 eV per atom. The space group is No. 216. The total energy comes out at -5.23 eV per atom. The value obtained for the total moment is 1.064 μB per cell.

3.
Density functional theory data (GGA-PBE) for an optimized crystal structure of CeTmZnPb.

a b c (Å): 5.2817 5.2817 5.2817
angles (deg): 60.00 60.00 60.00
With the nearest neighbours (Å) after each atom.
Fractional positions:
Ce (0.0000, 0.0000, 0.0000)  4 Zn 3.23, 4 Pb 3.23
Tm (0.5000, 0.5000, 0.5000)  4 Pb 3.23, 4 Zn 3.23
Zn (0.7500, 0.7500, 0.7500)  4 Tm 3.23, 4 Ce 3.23
Pb (0.2500, 0.2500, 0.2500)  4 Ce 3.23, 4 Tm 3.23

For the formation energy, the calculation gives -0.29 eV per atom. The space group is No. 216. The total energy comes out at -4.14 eV per atom. The value obtained for the total moment is 1.021 μB per cell.

4.
Density functional theory data (GGA-PBE) for an optimized crystal structure of Ce2UPb.

a b c (Å): 9.9190 9.9190 9.9190
angles (deg): 21.66 21.66 21.66
With the nearest neighbours (Å) after each atom.
Fractional positions:
Ce (0.1130, 0.1130, 0.1130)  3 U 2.66
Ce (0.8870, 0.8870, 0.8870)  3 U 2.66
U (0.5000, 0.5000, 0.5000)  6 Ce 2.66
Pb (0.0000, 0.0000, 0.0000)  2 Ce 3.28

For the formation energy, the calculation gives 0.35 eV per atom. The space group is No. 166. The total energy comes out at -6.37 eV per atom. The value obtained for the total moment is 0.000 μB per cell.

5.
Density functional theory data (GGA-PBE) for an optimized crystal structure of Ce2VPb.

a b c (Å): 11.0952 11.0952 11.0952
angles (deg): 16.51 16.51 16.51
With the nearest neighbours (Å) after each atom.
Fractional positions:
Ce (0.0770, 0.0770, 0.0770)  1 V 2.53
Ce (0.9230, 0.9230, 0.9230)  1 V 2.53
V (0.0000, 0.0000, 0.0000)  2 Ce 2.53
Pb (0.5000, 0.5000, 0.5000)  6 Pb 3.19, 6 Ce 3.47

For the formation energy, the calculation gives 0.34 eV per atom. The space group is No. 166. The total energy comes out at -5.83 eV per atom. The value obtained for the total moment is 2.127 μB per cell.

6.
Density functional theory data (GGA-PBE) for an optimized crystal structure of CeYPb2.

a b c (Å): 3.5870 3.5870 9.0338
angles (deg): 90.00 90.00 90.00
With the nearest neighbours (Å) after each atom.
Fractional positions:
Ce (0.0000, 0.0000, 0.0000)  8 Pb 3.44, 4 Ce 3.59
Y (0.0000, 0.0000, 0.5000)  8 Pb 3.36, 4 Y 3.59
Pb (0.5000, 0.5000, 0.2566)  4 Y 3.36, 4 Ce 3.44, 4 Pb 3.59
Pb (0.5000, 0.5000, 0.7434)  4 Y 3.36, 4 Ce 3.44, 4 Pb 3.59

For the formation energy, the calculation gives -0.43 eV per atom. The space group is No. 123. The total energy comes out at -5.38 eV per atom. The value obtained for the total moment is 1.526 μB per cell.

7.
Density functional theory data (GGA-PBE) for an optimized crystal structure of CeYPb.

a b c (Å): 9.4358 9.4358 9.4358
angles (deg): 152.83 152.83 38.80
With the nearest neighbours (Å) after each atom.
Fractional positions:
Ce (0.0000, 0.5000, 0.5000)  4 Ce 3.13, 4 Pb 3.37
Ce (0.5000, 0.0000, 0.5000)  4 Ce 3.13, 4 Pb 3.37
Y (0.1769, 0.1769, 0.0000)  5 Pb 3.19-3.22
Y (0.8231, 0.8231, 0.0000)  5 Pb 3.19-3.22
Pb (0.3575, 0.3575, 0.0000)  5 Y 3.19-3.22, 4 Ce 3.37
Pb (0.6425, 0.6425, 0.0000)  5 Y 3.19-3.22, 4 Ce 3.37

For the formation energy, the calculation gives -0.45 eV per atom. The space group is No. 139. The total energy comes out at -5.82 eV per atom. The value obtained for the total moment is 1.180 μB per cell.

8.
Density functional theory data (GGA-PBE) for an optimized crystal structure of CeY2Pb9.

a b c (Å): 4.9053 4.9053 14.6800
angles (deg): 90.00 90.00 90.00
With the nearest neighbours (Å) after each atom.
Fractional positions:
Ce (0.0000, 0.0000, 0.0000)  12 Pb 3.47
Y (0.0000, 0.0000, 0.3282)  12 Pb 3.40-3.52
Y (0.0000, 0.0000, 0.6718)  12 Pb 3.40-3.52
Pb (0.0000, 0.5000, 0.1676)  2 Y 3.40, 8 Pb 3.46-3.47, 2 Ce 3.47
Pb (0.0000, 0.5000, 0.5000)  8 Pb 3.45-3.47, 4 Y 3.52
Pb (0.0000, 0.5000, 0.8324)  2 Y 3.40, 8 Pb 3.46-3.47, 2 Ce 3.47
Pb (0.5000, 0.0000, 0.1676)  2 Y 3.40, 8 Pb 3.46-3.47, 2 Ce 3.47
Pb (0.5000, 0.0000, 0.5000)  8 Pb 3.45-3.47, 4 Y 3.52
Pb (0.5000, 0.0000, 0.8324)  2 Y 3.40, 8 Pb 3.46-3.47, 2 Ce 3.47
Pb (0.5000, 0.5000, 0.0000)  4 Ce 3.47, 8 Pb 3.47
Pb (0.5000, 0.5000, 0.3343)  8 Pb 3.45-3.46, 4 Y 3.47
Pb (0.5000, 0.5000, 0.6657)  8 Pb 3.45-3.46, 4 Y 3.47

For the formation energy, the calculation gives -0.31 eV per atom. The space group is No. 123. The total energy comes out at -4.66 eV per atom. The value obtained for the total moment is 1.020 μB per cell.

9.
Density functional theory data (GGA-PBE) for an optimized crystal structure of CeYPb2.

a b c (Å): 5.0877 5.0877 4.5044
angles (deg): 90.00 90.00 90.00
With the nearest neighbours (Å) after each atom.
Fractional positions:
Ce (0.0000, 0.0000, 0.0000)  8 Pb 3.40, 4 Y 3.60
Y (0.5000, 0.5000, 0.0000)  8 Pb 3.40, 4 Ce 3.60
Pb (0.0000, 0.5000, 0.5000)  4 Ce 3.40, 4 Y 3.40, 4 Pb 3.60
Pb (0.5000, 0.0000, 0.5000)  4 Ce 3.40, 4 Y 3.40, 4 Pb 3.60

For the formation energy, the calculation gives -0.43 eV per atom. The space group is No. 123. The total energy comes out at -5.38 eV per atom. The value obtained for the total moment is 1.682 μB per cell.

10.
Density functional theory data (GGA-PBE) for an optimized crystal structure of Ce3YPb2.

a b c (Å): 9.5049 9.5049 9.4148
angles (deg): 109.60 109.60 25.87
With the nearest neighbours (Å) after each atom.
Fractional positions:
Ce (0.0665, 0.0665, 0.1185)  3 Ce 2.70-2.84
Ce (0.2947, 0.2947, 0.5733)  2 Ce 2.76
Ce (0.3748, 0.3748, 0.0096)  2 Ce 2.84
Ce (0.6252, 0.6252, 0.9904)  2 Ce 2.84
Ce (0.7053, 0.7053, 0.4267)  2 Ce 2.76
Ce (0.9335, 0.9335, 0.8815)  3 Ce 2.70-2.84
Y (0.1040, 0.1040, 0.6270)  6 Pb 3.24-3.36
Y (0.8960, 0.8960, 0.3730)  6 Pb 3.24-3.36
Pb (0.2593, 0.2593, 0.2091)  7 Ce 3.26-3.38, 2 Y 3.26
Pb (0.4786, 0.4786, 0.6596)  4 Ce 3.22-3.35, 4 Y 3.24-3.36, 1 Pb 3.36
Pb (0.5214, 0.5214, 0.3404)  4 Ce 3.22-3.35, 4 Y 3.24-3.36, 1 Pb 3.36
Pb (0.7407, 0.7407, 0.7909)  7 Ce 3.26-3.38, 2 Y 3.26

For the formation energy, the calculation gives -0.29 eV per atom. The space group is No. 12. The total energy comes out at -5.58 eV per atom. The value obtained for the total moment is 3.006 μB per cell.

Copy entry 1 word for word.
Density functional theory data (GGA-PBE) for an optimized crystal structure of CeTm2Pb5.

a b c (Å): 6.7157 6.7157 6.7157
angles (deg): 106.30 106.30 116.01
With the nearest neighbours (Å) after each atom.
Fractional positions:
Ce (0.0000, 0.0000, 0.0000)  10 Pb 3.36-3.56
Tm (0.0000, 0.5000, 0.5000)  8 Pb 3.36, 2 Tm 3.56
Tm (0.5000, 0.0000, 0.5000)  8 Pb 3.36, 2 Tm 3.56
Pb (0.0000, 0.0000, 0.5000)  4 Pb 3.36-3.56, 2 Ce 3.36, 4 Tm 3.36
Pb (0.0000, 0.5000, 0.0000)  4 Pb 3.36-3.56, 2 Ce 3.36, 4 Tm 3.36
Pb (0.5000, 0.0000, 0.0000)  2 Ce 3.36, 4 Pb 3.36-3.56, 4 Tm 3.36
Pb (0.5000, 0.5000, 0.0000)  8 Pb 3.36, 2 Ce 3.56
Pb (0.5000, 0.5000, 0.5000)  4 Pb 3.36-3.56, 2 Ce 3.36, 4 Tm 3.36

For the formation energy, the calculation gives -0.31 eV per atom. The space group is No. 139. The total energy comes out at -4.48 eV per atom. The value obtained for the total moment is 1.111 μB per cell.

Q: What is the formula in the sixth record?
A: CeYPb2

Please write out number 1 again, unchanged.
Density functional theory data (GGA-PBE) for an optimized crystal structure of CeTm2Pb5.

a b c (Å): 6.7157 6.7157 6.7157
angles (deg): 106.30 106.30 116.01
With the nearest neighbours (Å) after each atom.
Fractional positions:
Ce (0.0000, 0.0000, 0.0000)  10 Pb 3.36-3.56
Tm (0.0000, 0.5000, 0.5000)  8 Pb 3.36, 2 Tm 3.56
Tm (0.5000, 0.0000, 0.5000)  8 Pb 3.36, 2 Tm 3.56
Pb (0.0000, 0.0000, 0.5000)  4 Pb 3.36-3.56, 2 Ce 3.36, 4 Tm 3.36
Pb (0.0000, 0.5000, 0.0000)  4 Pb 3.36-3.56, 2 Ce 3.36, 4 Tm 3.36
Pb (0.5000, 0.0000, 0.0000)  2 Ce 3.36, 4 Pb 3.36-3.56, 4 Tm 3.36
Pb (0.5000, 0.5000, 0.0000)  8 Pb 3.36, 2 Ce 3.56
Pb (0.5000, 0.5000, 0.5000)  4 Pb 3.36-3.56, 2 Ce 3.36, 4 Tm 3.36

For the formation energy, the calculation gives -0.31 eV per atom. The space group is No. 139. The total energy comes out at -4.48 eV per atom. The value obtained for the total moment is 1.111 μB per cell.

Repeat the tenth record exactly.
Density functional theory data (GGA-PBE) for an optimized crystal structure of Ce3YPb2.

a b c (Å): 9.5049 9.5049 9.4148
angles (deg): 109.60 109.60 25.87
With the nearest neighbours (Å) after each atom.
Fractional positions:
Ce (0.0665, 0.0665, 0.1185)  3 Ce 2.70-2.84
Ce (0.2947, 0.2947, 0.5733)  2 Ce 2.76
Ce (0.3748, 0.3748, 0.0096)  2 Ce 2.84
Ce (0.6252, 0.6252, 0.9904)  2 Ce 2.84
Ce (0.7053, 0.7053, 0.4267)  2 Ce 2.76
Ce (0.9335, 0.9335, 0.8815)  3 Ce 2.70-2.84
Y (0.1040, 0.1040, 0.6270)  6 Pb 3.24-3.36
Y (0.8960, 0.8960, 0.3730)  6 Pb 3.24-3.36
Pb (0.2593, 0.2593, 0.2091)  7 Ce 3.26-3.38, 2 Y 3.26
Pb (0.4786, 0.4786, 0.6596)  4 Ce 3.22-3.35, 4 Y 3.24-3.36, 1 Pb 3.36
Pb (0.5214, 0.5214, 0.3404)  4 Ce 3.22-3.35, 4 Y 3.24-3.36, 1 Pb 3.36
Pb (0.7407, 0.7407, 0.7909)  7 Ce 3.26-3.38, 2 Y 3.26

For the formation energy, the calculation gives -0.29 eV per atom. The space group is No. 12. The total energy comes out at -5.58 eV per atom. The value obtained for the total moment is 3.006 μB per cell.